{
  "formula": "TbTh2",
  "functional": "PBE-GGA",
  "state": "optimized geometry",
  "dft_energy_ev_per_cell": -19.309,
  "de_polymorph_ev_per_atom": 0.0119,
  "mass_density_g_cm3": 10.71,
  "e_form_ev_per_fu": 0.161,
  "dos_at_fermi_per_ev_atom": 1.795,
  "space_group": "No. 71",
  "cell": [[-2.608, 1.737, 3.906], [-2.600, -2.395, -0.671], [5.041, -3.210, 1.584]],
  "species": ["Tb", "Th", "Th"],
  "fractional_positions": [[0.000, 0.500, 0.000], [0.331, 0.831, 0.662], [0.669, 0.169, 0.338]]
}

***

{
  "formula": "Tb5Th2",
  "functional": "PBE-GGA",
  "state": "optimized geometry",
  "dft_energy_ev_per_cell": -37.047,
  "mass_density_g_cm3": 9.31,
  "e_form_ev_per_fu": 0.944,
  "dos_at_fermi_per_ev_atom": 1.895,
  "space_group": "No. 12",
  "cell": [[-3.630, 2.250, 3.529], [-2.163, -2.063, -4.664], [2.046, -7.557, 3.680]],
  "species": ["Tb", "Tb", "Tb", "Tb", "Tb", "Th", "Th"],
  "fractional_positions": [[0.145, 0.069, 0.715], [0.855, 0.931, 0.285], [0.289, 0.639, 0.427], [0.711, 0.361, 0.573], [0.000, 0.500, 0.000], [0.425, 0.212, 0.137], [0.575, 0.788, 0.863]]
}

***

{
  "formula": "Tb13Th3",
  "functional": "PBE-GGA",
  "state": "optimized geometry",
  "dft_energy_ev_per_cell": -81.844,
  "mass_density_g_cm3": 8.85,
  "e_form_ev_per_fu": 0.609,
  "dos_at_fermi_per_ev_atom": 1.893,
  "space_group": "No. 38",
  "cell": [[-0.708, -0.819, 7.119], [-2.779, -7.938, -1.190], [8.176, -2.237, 0.556]],
  "species": ["Tb", "Tb", "Tb", "Tb", "Tb", "Tb", "Tb", "Tb", "Tb", "Tb", "Tb", "Tb", "Tb", "Th", "Th", "Th"],
  "fractional_positions": [[0.752, 0.957, 0.541], [0.752, 0.542, 0.458], [0.752, 0.459, 0.043], [0.000, 0.703, 0.791], [0.000, 0.209, 0.297], [0.000, 0.797, 0.203], [0.248, 0.957, 0.541], [0.248, 0.542, 0.458], [0.248, 0.459, 0.043], [0.500, 0.286, 0.714], [0.500, 0.713, 0.790], [0.500, 0.210, 0.287], [0.500, 0.794, 0.206], [0.755, 0.043, 0.957], [0.000, 0.286, 0.714], [0.245, 0.043, 0.957]]
}

***

{
  "formula": "TbTh5",
  "functional": "PBE-GGA",
  "state": "optimized geometry",
  "dft_energy_ev_per_cell": -41.505,
  "mass_density_g_cm3": 11.38,
  "e_form_ev_per_fu": 0.224,
  "dos_at_fermi_per_ev_atom": 1.516,
  "space_group": "No. 65",
  "cell": [[-2.580, 2.002, -3.809], [1.084, -4.006, -2.839], [-6.874, -1.461, 3.888]],
  "species": ["Tb", "Th", "Th", "Th", "Th", "Th"],
  "fractional_positions": [[0.000, 0.000, 0.000], [0.000, 0.668, 0.336], [0.000, 0.332, 0.664], [0.500, 0.500, 0.000], [0.500, 0.166, 0.332], [0.500, 0.834, 0.668]]
}

***

{
  "formula": "Tb7Th3",
  "functional": "PBE-GGA",
  "state": "optimized geometry",
  "dft_energy_ev_per_cell": -54.254,
  "mass_density_g_cm3": 9.38,
  "e_form_ev_per_fu": 0.417,
  "dos_at_fermi_per_ev_atom": 1.286,
  "space_group": "No. 12",
  "cell": [[-1.571, 3.825, -2.922], [3.307, -2.904, -5.580], [-7.433, -5.730, 0.881]],
  "species": ["Tb", "Tb", "Tb", "Tb", "Tb", "Tb", "Tb", "Th", "Th", "Th"],
  "fractional_positions": [[0.000, 0.500, 0.000], [0.800, 0.894, 0.600], [0.200, 0.106, 0.400], [0.601, 0.302, 0.202], [0.399, 0.698, 0.798], [0.600, 0.802, 0.200], [0.400, 0.198, 0.800], [0.000, 0.000, 0.000], [0.800, 0.404, 0.600], [0.200, 0.596, 0.400]]
}

***

{
  "formula": "TbTh2",
  "functional": "PBE-GGA",
  "state": "optimized geometry",
  "dft_energy_ev_per_cell": -37.720,
  "de_polymorph_ev_per_atom": 0.1615,
  "mass_density_g_cm3": 10.51,
  "e_form_ev_per_fu": 0.610,
  "dos_at_fermi_per_ev_atom": 1.564,
  "space_group": "No. 141",
  "cell": [[3.435, 0.000, 0.000], [0.000, 3.435, 0.000], [-1.717, -1.717, 16.690]],
  "species": ["Tb", "Tb", "Th", "Th", "Th", "Th"],
  "fractional_positions": [[0.000, 0.000, 0.000], [0.250, 0.750, 0.500], [0.582, 0.582, 0.163], [0.668, 0.168, 0.337], [0.418, 0.418, 0.837], [0.832, 0.332, 0.663]]
}

***

{
  "formula": "TbTh3",
  "functional": "PBE-GGA",
  "state": "optimized geometry",
  "dft_energy_ev_per_cell": -79.784,
  "de_polymorph_ev_per_atom": 0.0254,
  "mass_density_g_cm3": 10.95,
  "e_form_ev_per_fu": 0.295,
  "dos_at_fermi_per_ev_atom": 1.732,
  "space_group": "No. 166",
  "cell": [[7.148, 0.000, 0.000], [3.574, 6.191, 0.000], [3.574, 2.064, 8.793]],
  "species": ["Tb", "Tb", "Tb", "Th", "Th", "Th", "Th", "Th", "Th", "Th", "Th", "Th"],
  "fractional_positions": [[0.777, 0.777, 0.669], [0.223, 0.223, 0.331], [0.000, 0.000, 0.000], [0.220, 0.724, 0.333], [0.724, 0.220, 0.333], [0.724, 0.724, 0.333], [0.000, 0.500, 0.000], [0.500, 0.500, 0.000], [0.500, 0.000, 0.000], [0.276, 0.780, 0.667], [0.780, 0.276, 0.667], [0.276, 0.276, 0.667]]
}

***

{
  "formula": "Tb6Th",
  "functional": "PBE-GGA",
  "state": "optimized geometry",
  "dft_energy_ev_per_cell": -24.926,
  "mass_density_g_cm3": 7.81,
  "e_form_ev_per_fu": 10.275,
  "dos_at_fermi_per_ev_atom": 1.202,
  "space_group": "No. 229",
  "cell": [[6.891, 0.000, 0.000], [-2.297, 6.497, 0.000], [-2.297, -3.249, 5.627]],
  "species": ["Tb", "Tb", "Tb", "Tb", "Tb", "Tb", "Th"],
  "fractional_positions": [[0.250, 0.750, 0.500], [0.500, 0.750, 0.250], [0.250, 0.500, 0.750], [0.750, 0.250, 0.500], [0.500, 0.250, 0.750], [0.750, 0.500, 0.250], [0.000, 0.000, 0.000]]
}